The following is a DFT calculation (PBE with a Hubbard U) of a relaxed BeNiSnO4 crystal.

Geometry as extended XYZ:
```
14
Lattice="5.722 0.000 0.000 2.861 5.100 -0.027 2.861 1.528 4.866" Properties=species:S:1:pos:R:3 pbc="T T T"
Be 5.722 3.302 0.535
Be 5.722 3.326 4.304
Ni 4.291 0.764 2.433
Ni 1.430 0.764 2.433
Sn 0.000 0.000 0.000
Sn 2.861 3.314 2.419
O 8.582 4.958 3.669
O 5.722 4.937 3.653
O 5.722 1.691 1.186
O 2.861 1.670 1.170
O 4.326 4.183 1.179
O 7.117 4.183 1.179
O 4.326 2.445 3.660
O 7.117 2.445 3.660
```

crystal system = orthorhombic
space-group type = Imma (74)
total magnetization = 4.0 Bohr magnetons per cell
calculated total energy = -5.951 eV/atom